No. 1
# Pm2PI2 | the Alexandria database | PBE | optimized geometry
# raw formation energy	-1.543	eV/atom
# relative energy among the computed polymorphs	0.000	eV/atom
# ρ	5.4	g cm⁻³
data_Pm2PI2
_space_group_name_H-M_alt 'R -3 m'
_space_group_IT_number 166
_space_group_name_Hall '-R 3 2"'
_cell_length_a 4.2138
_cell_length_b 4.2138
_cell_length_c 34.6172
_cell_angle_alpha 90.00
_cell_angle_beta 90.00
_cell_angle_gamma 120.00
loop_
_atom_site_label
_atom_site_type_symbol
_atom_site_fract_x
_atom_site_fract_y
_atom_site_fract_z
_atom_site_occupancy
Pm1 Pm 0.0000 0.0000 0.1220 1
P1 P 0.0000 0.0000 0.5000 1
I1 I 0.0000 0.0000 0.2720 1



No. 2
# Pm2PI | the Alexandria database | PBE | optimized geometry
# raw formation energy	-0.944	eV/atom
# relative energy among the computed polymorphs	0.426	eV/atom
# ρ	7.3	g cm⁻³
data_Pm2PI
_space_group_name_H-M_alt 'F m -3 m'
_space_group_IT_number 225
_space_group_name_Hall '-F 4 2 3'
_cell_length_a 7.430
_cell_length_b 7.430
_cell_length_c 7.430
_cell_angle_alpha 90.00
_cell_angle_beta 90.00
_cell_angle_gamma 90.00
loop_
_atom_site_label
_atom_site_type_symbol
_atom_site_fract_x
_atom_site_fract_y
_atom_site_fract_z
_atom_site_occupancy
Pm1 Pm 0.250 0.250 0.250 1
P1 P 0.000 0.000 0.000 1
I1 I 0.000 0.000 0.500 1



No. 3
# Pm6P5I | the Alexandria database | PBE | optimized geometry
# raw formation energy	-1.507	eV/atom
# ρ	6.1	g cm⁻³
data_Pm6P5I
_space_group_name_H-M_alt 'C 1 2/m 1'
_space_group_IT_number 12
_cell_length_a 7.277
_cell_length_b 12.575
_cell_length_c 7.245
_cell_angle_alpha 90.00
_cell_angle_beta 109.62
_cell_angle_gamma 90.00
loop_
_space_group_symop_operation_xyz
'x,y,z'
'-x,-y,-z'
'-x,y,-z'
'x,-y,z'
'x+1/2,y+1/2,z'
'-x+1/2,-y+1/2,-z'
'-x+1/2,y+1/2,-z'
'x+1/2,-y+1/2,z'
loop_
_atom_site_label
_atom_site_type_symbol
_atom_site_fract_x
_atom_site_fract_y
_atom_site_fract_z
_atom_site_occupancy
Pm1 Pm 0.230 0.000 0.264 1
Pm2 Pm 0.232 0.180 0.737 1
P1 P 0.000 0.000 0.500 1
P2 P 0.000 0.168 0.000 1
P3 P 0.000 0.340 0.500 1
I1 I 0.000 0.500 0.000 1



No. 4
# Pm4P2I | the Alexandria database | PBE | optimized geometry
# raw formation energy	-1.186	eV/atom
# ρ	6.1	g cm⁻³
data_Pm4P2I
_space_group_name_H-M_alt 'R -3 m'
_space_group_IT_number 166
_space_group_name_Hall '-R 3 2"'
_cell_length_a 4.1123
_cell_length_b 4.1123
_cell_length_c 42.8366
_cell_angle_alpha 90.00
_cell_angle_beta 90.00
_cell_angle_gamma 120.00
loop_
_atom_site_label
_atom_site_type_symbol
_atom_site_fract_x
_atom_site_fract_y
_atom_site_fract_z
_atom_site_occupancy
Pm1 Pm 0.0000 0.0000 0.1273 1
Pm2 Pm 0.0000 0.0000 0.2770 1
P1 P 0.0000 0.0000 0.4240 1
I1 I 0.0000 0.0000 0.0000 1



No. 5
# Pm2PI | the Alexandria database | PBE | optimized geometry
# raw formation energy	-1.370	eV/atom
# relative energy among the computed polymorphs	0.000	eV/atom
# ρ	6.5	g cm⁻³
data_Pm2PI
_space_group_name_H-M_alt 'R 3 m'
_space_group_IT_number 160
_space_group_name_Hall 'R 3 -2"'
_cell_length_a 4.1470
_cell_length_b 4.1470
_cell_length_c 23.1186
_cell_angle_alpha 90.00
_cell_angle_beta 90.00
_cell_angle_gamma 120.00
loop_
_atom_site_label
_atom_site_type_symbol
_atom_site_fract_x
_atom_site_fract_y
_atom_site_fract_z
_atom_site_occupancy
Pm1 Pm 0.0000 0.0000 0.0000 1
Pm2 Pm 0.0000 0.0000 0.2047 1
P1 P 0.0000 0.0000 0.6010 1
I1 I 0.0000 0.0000 0.7698 1



No. 6
# Pm3PI | the Alexandria database | PBE | optimized geometry
# raw formation energy	-0.498	eV/atom
# ρ	5.9	g cm⁻³
data_Pm3PI
_space_group_name_H-M_alt 'P m -3 m'
_space_group_IT_number 221
_space_group_name_Hall '-P 4 2 3'
_cell_length_a 5.511
_cell_length_b 5.511
_cell_length_c 5.511
_cell_angle_alpha 90.00
_cell_angle_beta 90.00
_cell_angle_gamma 90.00
loop_
_atom_site_label
_atom_site_type_symbol
_atom_site_fract_x
_atom_site_fract_y
_atom_site_fract_z
_atom_site_occupancy
Pm1 Pm 0.000 0.000 0.500 1
P1 P 0.000 0.000 0.000 1
I1 I 0.500 0.500 0.500 1



No. 7
# Pm4P2I5 | the Alexandria database | PBE | optimized geometry
# raw formation energy	-1.240	eV/atom
# ρ	5.3	g cm⁻³
data_Pm4P2I5
_space_group_name_H-M_alt 'C 1 2/m 1'
_space_group_IT_number 12
_cell_length_a 22.594
_cell_length_b 4.107
_cell_length_c 8.687
_cell_angle_alpha 90.00
_cell_angle_beta 93.39
_cell_angle_gamma 90.00
loop_
_space_group_symop_operation_xyz
'x,y,z'
'-x,-y,-z'
'-x,y,-z'
'x,-y,z'
'x+1/2,y+1/2,z'
'-x+1/2,-y+1/2,-z'
'-x+1/2,y+1/2,-z'
'x+1/2,-y+1/2,z'
loop_
_atom_site_label
_atom_site_type_symbol
_atom_site_fract_x
_atom_site_fract_y
_atom_site_fract_z
_atom_site_occupancy
Pm1 Pm 0.019 0.000 0.202 1
Pm2 Pm 0.163 0.500 0.075 1
P1 P 0.047 0.500 0.964 1
I1 I 0.000 0.500 0.500 1
I2 I 0.152 0.000 0.346 1
I3 I 0.196 0.000 0.815 1



No. 8
# Pm2PI2 | the Alexandria database | PBE | optimized geometry
# raw formation energy	-1.209	eV/atom
# relative energy among the computed polymorphs	0.334	eV/atom
# ρ	5.7	g cm⁻³
data_Pm2PI2
_space_group_name_H-M_alt 'C m c 21'
_space_group_IT_number 36
_cell_length_a 4.042
_cell_length_b 14.890
_cell_length_c 11.172
_cell_angle_alpha 90.00
_cell_angle_beta 90.00
_cell_angle_gamma 90.00
loop_
_space_group_symop_operation_xyz
'x,y,z'
'-x,-y,z+1/2'
'-x,y,z'
'x,-y,z+1/2'
'x+1/2,y+1/2,z'
'-x+1/2,-y+1/2,z+1/2'
'-x+1/2,y+1/2,z'
'x+1/2,-y+1/2,z+1/2'
loop_
_atom_site_label
_atom_site_type_symbol
_atom_site_fract_x
_atom_site_fract_y
_atom_site_fract_z
_atom_site_occupancy
Pm1 Pm 0.000 0.015 0.000 1
Pm2 Pm 0.000 0.217 0.192 1
P1 P 0.000 0.377 0.580 1
I1 I 0.000 0.109 0.739 1
I2 I 0.000 0.342 0.925 1



No. 9
# Pm2PI | the Alexandria database | PBE | optimized geometry
# raw formation energy	-0.876	eV/atom
# relative energy among the computed polymorphs	0.493	eV/atom
# ρ	7.2	g cm⁻³
data_Pm2PI
_space_group_name_H-M_alt 'P 4/m m m'
_space_group_IT_number 123
_space_group_name_Hall '-P 4 2'
_cell_length_a 5.215
_cell_length_b 5.215
_cell_length_c 3.774
_cell_angle_alpha 90.00
_cell_angle_beta 90.00
_cell_angle_gamma 90.00
loop_
_atom_site_label
_atom_site_type_symbol
_atom_site_fract_x
_atom_site_fract_y
_atom_site_fract_z
_atom_site_occupancy
Pm1 Pm 0.000 0.500 0.000 1
P1 P 0.000 0.000 0.500 1
I1 I 0.500 0.500 0.500 1



No. 10
# Pm7PI12 | the Alexandria database | PBE | optimized geometry
# raw formation energy	-1.392	eV/atom
# ρ	5.4	g cm⁻³
data_Pm7PI12
_space_group_name_H-M_alt 'R -3'
_space_group_IT_number 148
_space_group_name_Hall '-R 3'
_cell_length_a 15.9824
_cell_length_b 15.9824
_cell_length_c 10.6528
_cell_angle_alpha 90.00
_cell_angle_beta 90.00
_cell_angle_gamma 120.00
loop_
_atom_site_label
_atom_site_type_symbol
_atom_site_fract_x
_atom_site_fract_y
_atom_site_fract_z
_atom_site_occupancy
Pm1 Pm 0.0000 0.0000 0.0000 1
Pm2 Pm 0.0444 0.8854 0.3546 1
P1 P 0.0000 0.0000 0.5000 1
I1 I 0.0222 0.4358 0.1647 1
I2 I 0.0513 0.8682 0.8363 1



No. 11
# Pm3P2I | the Alexandria database | PBE | optimized geometry
# raw formation energy	-1.454	eV/atom
# ρ	6.3	g cm⁻³
data_Pm3P2I
_space_group_name_H-M_alt 'P 63/m m c'
_space_group_IT_number 194
_space_group_name_Hall '-P 6c 2c'
_cell_length_a 4.1929
_cell_length_b 4.1929
_cell_length_c 21.7669
_cell_angle_alpha 90.00
_cell_angle_beta 90.00
_cell_angle_gamma 120.00
loop_
_atom_site_label
_atom_site_type_symbol
_atom_site_fract_x
_atom_site_fract_y
_atom_site_fract_z
_atom_site_occupancy
Pm1 Pm 0.0000 0.0000 0.0000 1
Pm2 Pm 0.3333 0.6667 0.1400 1
P1 P 0.3333 0.6667 0.5765 1
I1 I 0.0000 0.0000 0.2500 1



No. 12
# Pm2PI | the Alexandria database | PBE | optimized geometry
# raw formation energy	-1.368	eV/atom
# relative energy among the computed polymorphs	0.002	eV/atom
# ρ	6.4	g cm⁻³
data_Pm2PI
_space_group_name_H-M_alt 'R -3 m'
_space_group_IT_number 166
_space_group_name_Hall '-R 3 2"'
_cell_length_a 4.2060
_cell_length_b 4.2060
_cell_length_c 22.8474
_cell_angle_alpha 90.00
_cell_angle_beta 90.00
_cell_angle_gamma 120.00
loop_
_atom_site_label
_atom_site_type_symbol
_atom_site_fract_x
_atom_site_fract_y
_atom_site_fract_z
_atom_site_occupancy
Pm1 Pm 0.0000 0.0000 0.2287 1
P1 P 0.0000 0.0000 0.5000 1
I1 I 0.0000 0.0000 0.0000 1